Entry from the Alexandria database: an optimized crystal structure of BaDyCo4O7 (PBE with a Hubbard U).

Cell: 6.394 6.394 10.420 Å, 90.00 90.00 120.00°
Fractional positions:
Ba (0.333, 0.667, 0.979)
Ba (0.667, 0.333, 0.479)
Dy (0.333, 0.667, 0.376)
Dy (0.667, 0.333, 0.876)
Co (0.831, 0.169, 0.186)
Co (0.661, 0.831, 0.686)
Co (0.169, 0.339, 0.686)
Co (0.831, 0.661, 0.186)
Co (0.339, 0.169, 0.186)
Co (0.169, 0.831, 0.686)
Co (0.000, 0.000, 0.941)
Co (0.000, 0.000, 0.441)
O (0.833, 0.167, 0.002)
O (0.665, 0.833, 0.502)
O (0.167, 0.335, 0.502)
O (0.833, 0.665, 0.002)
O (0.335, 0.167, 0.002)
O (0.167, 0.833, 0.502)
O (0.000, 0.000, 0.742)
O (0.000, 0.000, 0.242)
O (0.509, 0.491, 0.259)
O (0.018, 0.509, 0.759)
O (0.491, 0.982, 0.759)
O (0.509, 0.018, 0.259)
O (0.491, 0.509, 0.759)
O (0.982, 0.491, 0.259)

Output
- Total energy: -6.500 eV per atom
- Space-group type: No. 186